[1]
A plane-wave DFT calculation with PBE was carried out for a relaxed structure of NaPb.

The value obtained for the formation energy is -0.1411 eV/atom.

a = 3.369 Å, b = 3.369 Å, c = 5.030 Å
α = 90.00°, β = 90.00°, γ = 90.00°
Atoms (fractional coordinates):
Pb 0.500 0.500 0.500
Na 0.000 0.000 0.000

---

[2]
A plane-wave DFT calculation with PBE was carried out for a relaxed structure of Na15Pb4.

The value obtained for the formation energy is -0.1372 eV/atom.

a = 11.516 Å, b = 11.516 Å, c = 11.516 Å
α = 109.47°, β = 109.47°, γ = 109.47°
Atoms (fractional coordinates):
Na 0.723 0.339 0.806
Na 0.339 0.806 0.723
Pb 0.500 0.000 0.582
Pb 0.582 0.500 0.000
Na 0.223 0.306 0.839
Na 0.384 0.661 0.967
Na 0.917 0.694 0.033
Na 0.616 0.777 0.583
Na 0.125 0.750 0.875
Na 0.033 0.917 0.694
Na 0.375 0.250 0.625
Na 0.533 0.194 0.417
Na 0.661 0.967 0.384
Na 0.750 0.875 0.125
Na 0.277 0.116 0.083
Pb 0.418 0.418 0.418
Na 0.875 0.125 0.750
Na 0.694 0.033 0.917
Na 0.116 0.083 0.277
Na 0.250 0.625 0.375
Pb 0.000 0.582 0.500
Pb 0.500 0.000 0.082
Na 0.967 0.384 0.661
Na 0.417 0.533 0.194
Na 0.839 0.223 0.306
Pb 0.918 0.918 0.918
Na 0.194 0.417 0.533
Na 0.806 0.723 0.339
Na 0.583 0.616 0.777
Na 0.467 0.161 0.884
Na 0.777 0.583 0.616
Pb 0.000 0.082 0.500
Na 0.306 0.839 0.223
Na 0.161 0.884 0.467
Na 0.625 0.375 0.250
Na 0.884 0.467 0.161
Pb 0.082 0.500 0.000
Na 0.083 0.277 0.116

---

[3]
A plane-wave DFT calculation with PBE was carried out for a relaxed structure of Na5Pb4.

The value obtained for the formation energy is -0.1443 eV/atom.

a = 5.048 Å, b = 5.827 Å, c = 10.515 Å
α = 97.20°, β = 76.11°, γ = 64.33°
Atoms (fractional coordinates):
Pb 0.553 0.111 0.783
Na 0.116 0.217 0.551
Pb 0.672 0.325 0.331
Na 0.884 0.783 0.449
Na 0.782 0.556 0.880
Pb 0.447 0.889 0.217
Na 0.000 0.000 0.000
Pb 0.328 0.675 0.669
Na 0.218 0.444 0.120

---

[4]
A plane-wave DFT calculation with PBE was carried out for a relaxed structure of NaPb4.

The excess energy over the best structure of this formula in the dataset is 0 meV/atom. The value obtained for the formation energy is -0.0633 eV/atom.

a = 6.178 Å, b = 6.697 Å, c = 11.760 Å
α = 129.76°, β = 89.04°, γ = 117.14°
Atoms (fractional coordinates):
Pb 0.201 0.712 0.059
Pb 0.207 0.094 0.950
Pb 0.393 0.110 0.453
Na 0.590 0.495 0.849
Pb 0.798 0.288 0.141
Pb 0.022 0.716 0.559
Pb 0.978 0.284 0.641
Na 0.410 0.505 0.351
Pb 0.793 0.906 0.250
Pb 0.607 0.890 0.747

---

Copy entry 4 word for word.
A plane-wave DFT calculation with PBE was carried out for a relaxed structure of NaPb4.

The excess energy over the best structure of this formula in the dataset is 0 meV/atom. The value obtained for the formation energy is -0.0633 eV/atom.

a = 6.178 Å, b = 6.697 Å, c = 11.760 Å
α = 129.76°, β = 89.04°, γ = 117.14°
Atoms (fractional coordinates):
Pb 0.201 0.712 0.059
Pb 0.207 0.094 0.950
Pb 0.393 0.110 0.453
Na 0.590 0.495 0.849
Pb 0.798 0.288 0.141
Pb 0.022 0.716 0.559
Pb 0.978 0.284 0.641
Na 0.410 0.505 0.351
Pb 0.793 0.906 0.250
Pb 0.607 0.890 0.747